A plane-wave DFT calculation with PBE was carried out for an optimized crystal structure of Li4Ac2Au3.

Results
For the total magnetization, the calculation gives 0.000 μB/cell. The formation energy is -429 meV/atom. The calculation puts the energy at -3.2854 eV per atom.

Unit cell a=8.7230 b=8.7230 c=7.8310 alpha=90.00 beta=90.00 gamma=135.65
Closest atoms and distances in Å follow each position.
Atoms (fractional coordinates):
Li 0.1625 0.8375 0.9873  3 Au 2.63-2.65
Li 0.2058 0.2942 0.2500  3 Au 2.66-2.85
Li 0.2942 0.2058 0.7500  3 Au 2.66-2.85
Li 0.3375 0.6625 0.4873  3 Au 2.63-2.65
Li 0.6625 0.3375 0.5127  3 Au 2.63-2.65
Li 0.7058 0.7942 0.2500  3 Au 2.66-2.85
Li 0.7942 0.7058 0.7500  3 Au 2.66-2.85
Li 0.8375 0.1625 0.0127  3 Au 2.63-2.65
Ac 0.1331 0.8669 0.4256  4 Au 3.19-3.34, 6 Li 3.34-3.47
Ac 0.3669 0.6331 0.9256  4 Au 3.19-3.34, 6 Li 3.34-3.47
Ac 0.6331 0.3669 0.0744  4 Au 3.19-3.34, 6 Li 3.34-3.47
Ac 0.8669 0.1331 0.5744  4 Au 3.19-3.34, 6 Li 3.34-3.47
Au 0.0000 0.0000 0.0000  6 Li 2.63-2.66
Au 0.0295 0.4705 0.2500  3 Li 2.65-2.85
Au 0.4705 0.0295 0.7500  3 Li 2.65-2.85
Au 0.5000 0.5000 0.5000  6 Li 2.63-2.66
Au 0.5295 0.9705 0.2500  3 Li 2.65-2.85
Au 0.9705 0.5295 0.7500  3 Li 2.65-2.85